VASP calculation (GGA-PBE) on a geometry-optimized InFeTe2 structure.

The calculation puts the magnetic moment at 3.69 μB/cell. The value obtained for the total DFT energy (no corrections) is -3.95 eV per atom.

Lattice parameters (Å, degrees): 3.9793 4.1090 7.4740 90.00 90.00 90.00
Space group Pmmm (No. 47)
One atom of each set of equivalent atoms:
In  0.0000  0.0000  0.0000
Fe  0.0000  0.5000  0.5000
Te  0.5000  0.0000  0.5000
Te  0.5000  0.5000  0.0000

***

VASP calculation (GGA-PBE) on a geometry-optimized InFeTe2 structure.

The calculation puts the magnetic moment at 7.32 μB/cell. The value obtained for the total DFT energy (no corrections) is -3.96 eV per atom.

Lattice parameters (Å, degrees): 4.0482 4.0482 15.0533 90.00 90.00 90.00
Space group I-4m2 (No. 119)
One atom of each set of equivalent atoms:
In  0.0000  0.0000  0.0000
Fe  0.0000  0.5000  0.2500
Te  0.0000  0.0000  0.5000
Te  0.0000  0.5000  0.7500

***

VASP calculation (GGA-PBE) on a geometry-optimized InFeTe3 structure.

The calculation puts the magnetic moment at 0.00 μB/cell. The relative energy among the computed polymorphs is 0 kJ/mol of formula units.

Lattice parameters (Å, degrees): 5.1351 5.1351 5.1351 90.00 90.00 90.00
Space group Pm-3m (No. 221)
One atom of each set of equivalent atoms:
In  0.0000  0.0000  0.0000
Fe  0.5000  0.5000  0.5000
Te  0.0000  0.5000  0.5000

***

VASP calculation (GGA-PBE) on a geometry-optimized InFeTe2 structure.

The calculation puts the magnetic moment at 2.99 μB/cell. The value obtained for the total DFT energy (no corrections) is -4.31 eV per atom.

Lattice parameters (Å, degrees): 4.5770 4.3466 5.9185 90.00 94.35 90.00
Space group Pm (No. 6)
One atom of each set of equivalent atoms:
In  0.0000  0.0000  0.0000
Fe  0.8978  0.5000  0.6861
Te  0.4274  0.5000  0.9227
Te  0.7928  0.0000  0.4511

***

VASP calculation (GGA-PBE) on a geometry-optimized InFeTe2 structure.

The calculation puts the magnetic moment at 5.98 μB/cell. The value obtained for the total DFT energy (no corrections) is -4.37 eV per atom.

Lattice parameters (Å, degrees): 6.9625 4.0504 7.6832 90.00 107.95 90.00
Space group C2/m (No. 12)
One atom of each set of equivalent atoms:
In  0.0000  0.0000  0.0000
Fe  0.0000  0.5000  0.5000
Te  0.2332  0.0000  0.7009

***

VASP calculation (GGA-PBE) on a geometry-optimized InFeTe2 structure.

The calculation puts the magnetic moment at 1.72 μB/cell. The value obtained for the total DFT energy (no corrections) is -4.18 eV per atom.

Lattice parameters (Å, degrees): 3.1789 3.1789 9.6393 90.00 90.00 90.00
Space group P4mm (No. 99)
One atom of each set of equivalent atoms:
In  0.0000  0.0000  0.0000
Fe  0.5000  0.5000  0.8093
Te  0.0000  0.0000  0.6628
Te  0.5000  0.5000  0.3022

***

VASP calculation (GGA-PBE) on a geometry-optimized InFe2Te structure.

The calculation puts the magnetic moment at 0.00 μB/cell. The relative energy among the computed polymorphs is 254 kJ/mol of formula units.

Lattice parameters (Å, degrees): 6.9233 6.9233 6.1276 90.00 90.00 90.00
Space group I-42d (No. 122)
One atom of each set of equivalent atoms:
In  0.0000  0.0000  0.0000
Fe  0.2139  0.2500  0.6250
Te  0.0000  0.0000  0.5000

***

VASP calculation (GGA-PBE) on a geometry-optimized In3FeTe structure.

The calculation puts the magnetic moment at 2.32 μB/cell. The relative energy among the computed polymorphs is 0 kJ/mol of formula units.

Lattice parameters (Å, degrees): 5.1395 5.1395 5.1395 90.00 90.00 90.00
Space group Pm-3m (No. 221)
One atom of each set of equivalent atoms:
In  0.0000  0.0000  0.5000
Fe  0.0000  0.0000  0.0000
Te  0.5000  0.5000  0.5000

***

VASP calculation (GGA-PBE) on a geometry-optimized InFe2Te structure.

The calculation puts the magnetic moment at 20.30 μB/cell. The relative energy among the computed polymorphs is 182 kJ/mol of formula units.

Lattice parameters (Å, degrees): 6.6940 6.6940 6.6940 90.00 90.00 90.00
Space group F-43m (No. 216)
One atom of each set of equivalent atoms:
In  0.0000  0.0000  0.0000
Fe  0.0000  0.0000  0.5000
Fe  0.2500  0.2500  0.2500
Te  0.2500  0.2500  0.7500

***

VASP calculation (GGA-PBE) on a geometry-optimized InFeTe structure.

The calculation puts the magnetic moment at 1.89 μB/cell. The relative energy among the computed polymorphs is 0 kJ/mol of formula units.

Lattice parameters (Å, degrees): 3.5149 3.5149 6.1323 90.00 90.00 120.00
Space group P3m1 (No. 156)
One atom of each set of equivalent atoms:
In  0.0000  0.0000  0.0000
Fe  0.3333  0.6667  0.7010
Te  0.6667  0.3333  0.4447

***

VASP calculation (GGA-PBE) on a geometry-optimized InFeTe2 structure.

The calculation puts the magnetic moment at 3.33 μB/cell. The value obtained for the total DFT energy (no corrections) is -4.33 eV per atom.

Lattice parameters (Å, degrees): 9.6897 3.7515 6.6177 90.00 112.78 90.00
Space group Cm (No. 8)
One atom of each set of equivalent atoms:
In  0.0000  0.0000  0.0000
Fe  0.2318  0.5000  0.9973
Te  0.1642  0.0000  0.7070
Te  0.3228  0.0000  0.2866

***

VASP calculation (GGA-PBE) on a geometry-optimized InFe3Te structure.

The calculation puts the magnetic moment at 7.16 μB/cell. The relative energy among the computed polymorphs is 0 kJ/mol of formula units.

Lattice parameters (Å, degrees): 4.7542 4.7542 4.7542 90.00 90.00 90.00
Space group Pm-3m (No. 221)
One atom of each set of equivalent atoms:
In  0.0000  0.0000  0.0000
Fe  0.0000  0.5000  0.5000
Te  0.5000  0.5000  0.5000

***

VASP calculation (GGA-PBE) on a geometry-optimized InFe2Te structure.

The calculation puts the magnetic moment at 9.34 μB/cell. The relative energy among the computed polymorphs is 121 kJ/mol of formula units.

Lattice parameters (Å, degrees): 3.8951 3.8951 9.3322 90.00 90.00 90.00
Space group I-4m2 (No. 119)
One atom of each set of equivalent atoms:
In  0.0000  0.0000  0.0000
Fe  0.0000  0.0000  0.5000
Fe  0.0000  0.5000  0.2500
Te  0.0000  0.5000  0.7500

***

VASP calculation (GGA-PBE) on a geometry-optimized InFe2Te structure.

The calculation puts the magnetic moment at 8.80 μB/cell. The relative energy among the computed polymorphs is 68 kJ/mol of formula units.

Lattice parameters (Å, degrees): 8.9938 3.1405 7.0716 90.00 121.85 90.00
Space group C2/m (No. 12)
One atom of each set of equivalent atoms:
In  0.0000  0.0000  0.0000
Fe  0.2190  0.5000  0.3546
Te  0.0000  0.5000  0.5000

***

VASP calculation (GGA-PBE) on a geometry-optimized InFe2Te structure.

The calculation puts the magnetic moment at 13.43 μB/cell. The relative energy among the computed polymorphs is 103 kJ/mol of formula units.

Lattice parameters (Å, degrees): 3.1932 3.1932 24.2706 90.00 90.00 120.00
Space group R-3m (No. 166, hexagonal axes)
One atom of each set of equivalent atoms:
In  0.0000  0.0000  0.0000
Fe  0.0000  0.0000  0.2468
Te  0.0000  0.0000  0.5000

***

VASP calculation (GGA-PBE) on a geometry-optimized InFeTe2 structure.

The calculation puts the magnetic moment at 12.17 μB/cell. The value obtained for the total DFT energy (no corrections) is -3.78 eV per atom.

Lattice parameters (Å, degrees): 7.3416 7.3416 7.3416 90.00 90.00 90.00
Space group F-43m (No. 216)
One atom of each set of equivalent atoms:
In  0.0000  0.0000  0.0000
Fe  0.2500  0.2500  0.7500
Te  0.0000  0.0000  0.5000
Te  0.2500  0.2500  0.2500

***

VASP calculation (GGA-PBE) on a geometry-optimized InFe4Te structure.

The calculation puts the magnetic moment at 41.99 μB/cell. The value obtained for the total DFT energy (no corrections) is -6.33 eV per atom.

Lattice parameters (Å, degrees): 7.2158 7.2158 7.2158 90.00 90.00 90.00
Space group F-43m (No. 216)
One atom of each set of equivalent atoms:
In  0.0000  0.0000  0.0000
Fe  0.1265  0.1265  0.3735
Te  0.2500  0.2500  0.7500

***

VASP calculation (GGA-PBE) on a geometry-optimized InFeTe structure.

The calculation puts the magnetic moment at 3.15 μB/cell. The relative energy among the computed polymorphs is 16 kJ/mol of formula units.

Lattice parameters (Å, degrees): 3.2058 3.2058 12.4952 90.00 90.00 90.00
Space group I4mm (No. 107)
One atom of each set of equivalent atoms:
In  0.0000  0.0000  0.0000
Fe  0.0000  0.0000  0.3531
Te  0.0000  0.0000  0.7445

***

VASP calculation (GGA-PBE) on a geometry-optimized InFe2Te structure.

The calculation puts the magnetic moment at 9.57 μB/cell. The relative energy among the computed polymorphs is 44 kJ/mol of formula units.

Lattice parameters (Å, degrees): 3.0500 4.4090 11.4921 90.00 90.00 90.00
Space group Imm2 (No. 44)
One atom of each set of equivalent atoms:
In  0.0000  0.0000  0.0000
Fe  0.0000  0.0000  0.4756
Fe  0.0000  0.5000  0.1431
Te  0.0000  0.5000  0.7738

***

VASP calculation (GGA-PBE) on a geometry-optimized InFe2Te structure.

The calculation puts the magnetic moment at 4.74 μB/cell. The relative energy among the computed polymorphs is 80 kJ/mol of formula units.

Lattice parameters (Å, degrees): 3.4268 3.6102 6.3110 90.00 90.00 90.00
Space group Pmmm (No. 47)
One atom of each set of equivalent atoms:
In  0.0000  0.0000  0.0000
Fe  0.5000  0.5000  0.1903
Te  0.5000  0.0000  0.5000